No. 1
The following is a DFT calculation (PBE) of a relaxed structure of SrYSc2.

```
SrYSc2
1.0
5.0448 0.0000 0.0000
0.0000 5.0522 0.0000
0.0000 0.0000 10.0406
Sr Y Sc
2 2 4
Cartesian
0.0000 0.0000 0.0000
2.5224 2.5261 0.0000
0.0000 0.0000 5.0203
2.5224 2.5261 5.0203
0.0000 2.5261 2.8150
0.0000 2.5261 7.2256
2.5224 0.0000 2.8150
2.5224 0.0000 7.2256
```

E_form (eV/atom): 0.218
Distance to the lowest polymorph of the same formula (eV/f.u.): 0.27
Magnetization (μB/f.u.): 0.0

***

No. 2
The following is a DFT calculation (PBE) of a relaxed structure of Si2HgTeW.

```
Si2HgTeW
1.0
4.8569 0.0000 0.0000
0.0000 4.8569 0.0000
0.0000 0.0000 5.3083
Si Hg Te W
2 1 1 1
Cartesian
0.0000 2.4284 0.0000
2.4284 0.0000 0.0000
0.0000 0.0000 2.6541
2.4284 2.4284 2.6541
2.4284 2.4284 0.0000
```

Raw formation energy (eV/atom): 0.56
Magnetization (μB/f.u.): 0.0

***

No. 3
The following is a DFT calculation (PBE) of a relaxed structure of PmPr2Cd.

```
PmPr2Cd
1.0
3.6909 0.0000 0.0000
-1.8454 3.1964 0.0000
0.0000 0.0000 33.6461
Pm Pr Cd
3 6 3
Cartesian
0.0000 0.0000 0.0000
0.0000 2.1309 22.4308
1.8454 1.0655 11.2154
0.0000 0.0000 8.2245
0.0000 0.0000 25.4217
0.0000 2.1309 14.2063
0.0000 2.1309 30.6552
1.8454 1.0655 2.9909
1.8454 1.0655 19.4399
0.0000 0.0000 16.8231
0.0000 2.1309 5.6077
1.8454 1.0655 28.0384
```

E_form (eV/atom): -0.064
Distance to the lowest polymorph of the same formula (eV/f.u.): 0.34
Magnetization (μB/f.u.): 0.0

***

No. 4
The following is a DFT calculation (PBE) of a relaxed structure of Nb3TlZn.

```
Nb3TlZn
1.0
5.1056 0.0000 0.0000
0.0000 5.1056 0.0000
0.0000 0.0000 5.1056
Nb Tl Zn
3 1 1
Cartesian
0.0000 0.0000 2.5528
0.0000 2.5528 0.0000
2.5528 0.0000 0.0000
0.0000 0.0000 0.0000
2.5528 2.5528 2.5528
```

E_form (eV/atom): 2.052
Distance to the lowest polymorph of the same formula (eV/f.u.): 5.22
Magnetization (μB/f.u.): 0.0

***

No. 5
The following is a DFT calculation (PBE) of a relaxed structure of CsTaTeN2.

```
CsTaTeN2
1.0
4.3412 0.0000 0.0000
0.0000 4.3412 0.0000
0.0000 0.0000 7.0320
Cs Ta Te N
1 1 1 2
Cartesian
0.0000 0.0000 0.0000
2.1706 2.1706 3.5160
0.0000 0.0000 3.5160
0.0000 2.1706 0.0000
2.1706 0.0000 0.0000
```

Raw formation energy (eV/atom): 2.70
Magnetization (μB/f.u.): 0.8

***

No. 6
The following is a DFT calculation (PBE) of a relaxed structure of La3AsP2.

```
La3AsP2
1.0
4.3126 0.0000 0.0000
0.0000 4.3126 0.0000
0.0000 0.0000 18.2842
La As P
6 2 4
Cartesian
0.0000 0.0000 0.0000
0.0000 0.0000 6.0556
0.0000 0.0000 12.2286
2.1563 2.1563 3.0865
2.1563 2.1563 9.1421
2.1563 2.1563 15.1977
0.0000 0.0000 9.1421
2.1563 2.1563 0.0000
0.0000 0.0000 3.0490
0.0000 0.0000 15.2352
2.1563 2.1563 6.0931
2.1563 2.1563 12.1911
```

E_form (eV/atom): -1.570
Magnetization (μB/f.u.): 0.0

***

No. 7
The following is a DFT calculation (PBE) of a relaxed structure of Y3Pt.

```
Y3Pt
1.0
7.0765 0.0000 0.0000
0.0000 9.6285 0.0000
0.0000 0.0000 6.5239
Y Pt
12 4
Cartesian
0.1891 2.4071 0.8574
1.2727 0.5900 4.4323
1.2727 4.2242 4.4323
2.2656 5.4043 1.1703
2.2656 9.0384 1.1703
3.3492 7.2213 4.1193
3.7273 2.4071 2.4046
4.8109 0.5900 5.3536
4.8109 4.2242 5.3536
5.8038 5.4043 2.0916
5.8038 9.0384 2.0916
6.8874 7.2213 5.6665
0.7873 7.2213 2.9417
2.7509 2.4071 6.2037
4.3256 7.2213 0.3202
6.2892 2.4071 3.5822
```

E_form (eV/atom): -0.713
Magnetization (μB/f.u.): 0.0

***

No. 8
The following is a DFT calculation (PBE) of a relaxed structure of Tb5Tm2Th4.

```
Tb5Tm2Th4
1.0
11.6807 -1.7874 0.0000
11.6807 1.7874 0.0000
-2.1922 0.0000 8.3905
Tb Tm Th
5 2 4
Cartesian
0.0000 0.0000 0.0000
5.9843 0.0000 1.5891
6.5009 0.0000 7.5946
14.6682 0.0000 0.7960
15.1848 0.0000 6.8014
0.5033 0.0000 6.0204
20.6658 0.0000 2.3702
3.2627 0.0000 3.7913
9.2052 0.0000 5.3309
11.9640 0.0000 3.0596
17.9065 0.0000 4.5992
```

E_form (eV/atom): 0.023
Distance to the lowest polymorph of the same formula (eV/f.u.): 0.00
Magnetization (μB/f.u.): 0.0

***

No. 9
The following is a DFT calculation (PBE) of a relaxed structure of LiInPb2O6.

```
LiInPb2O6
1.0
2.7950 1.6137 4.9480
-2.7950 1.6137 4.9480
0.0000 -3.2274 4.9480
Li In Pb O
1 1 2 6
Cartesian
0.0000 0.0000 0.0000
0.0000 0.0000 7.3599
0.0000 0.0000 4.2160
0.0000 0.0000 11.6204
-0.8138 -1.4373 5.8034
-1.9451 -0.1774 8.2588
-0.8378 1.4234 5.8034
1.1261 -1.5958 8.2588
1.6516 0.0138 5.8034
0.8189 1.7732 8.2588
```

Raw formation energy (eV/atom): -1.20
Magnetization (μB/f.u.): 0.0

***

No. 10
The following is a DFT calculation (PBE) of a relaxed structure of Tm2Pd3Au4.

```
Tm2Pd3Au4
1.0
4.8040 -2.1019 0.0000
4.8040 2.1019 0.0000
-3.2241 0.0000 8.1892
Tm Pd Au
2 3 4
Cartesian
0.9091 0.0000 1.9014
5.4749 0.0000 6.2878
-0.2299 0.0000 4.5440
4.8040 0.0000 0.0000
6.6139 0.0000 3.6453
-1.2864 0.0000 7.2767
2.5980 0.0000 5.4282
3.7860 0.0000 2.7610
7.6704 0.0000 0.9125
```

E_form (eV/atom): -0.727
Magnetization (μB/f.u.): 0.0

***

No. 11
The following is a DFT calculation (PBE) of a relaxed structure of Tm3ScSe6.

```
Tm3ScSe6
1.0
3.5104 2.0267 6.3584
-3.5104 2.0267 6.3584
0.0000 -4.0534 6.3584
Tm Sc Se
3 1 6
Cartesian
0.0000 0.0000 0.0000
0.0000 0.0000 3.6787
0.0000 0.0000 13.2501
0.0000 0.0000 9.5805
-1.0181 -2.1051 8.1978
-2.1276 -0.0275 11.3390
-1.3140 1.9343 8.1978
1.0876 -1.8288 11.3390
2.3321 0.1708 8.1978
1.0400 1.8563 11.3390
```

Raw formation energy (eV/atom): -1.79
Distance to the lowest polymorph of the same formula (eV/f.u.): 0.00
Magnetization (μB/f.u.): 0.0

***

No. 12
The following is a DFT calculation (PBE) of a relaxed structure of Pr2AgGe.

```
Pr2AgGe
1.0
6.2650 0.0000 0.0000
0.0000 4.5316 0.0000
-2.9694 0.0000 7.6796
Pr Ag Ge
4 2 2
Cartesian
0.0415 1.1329 3.2456
-1.3810 1.1329 7.1566
4.6766 3.3987 0.5230
3.2540 3.3987 4.4340
1.6017 3.3987 1.6687
1.6939 1.1329 6.0109
-0.0587 3.3987 5.4346
3.3543 1.1329 2.2450
```

E_form (eV/atom): -0.517
Magnetization (μB/f.u.): 0.0